Here is an optimized crystal structure of Al2SiPt from the Alexandria database. Energies are from PBE.

Geometry as POSCAR:
```
Al2SiPt
1.0
-2.767 2.767 5.947
2.767 -2.767 5.947
2.767 2.767 -5.947
Al Si Pt
4 2 2
Direct
0.123 0.625 0.998 Al
0.375 0.373 0.498 Al
0.627 0.125 0.002 Al
0.875 0.877 0.502 Al
0.250 0.750 0.500 Si
0.500 0.500 0.000 Si
0.000 0.000 0.000 Pt
0.750 0.250 0.500 Pt
```

**E_form (uncorrected)**: 0.015 eV per atom
**SG**: I-42d
**DOS at the Fermi energy**: 0.00 states/eV/f.u.
**Total moment**: 0.0 μB/cell